# PBE+U Mn2Cd3Ge3O12, relaxed
data_Mn2Cd3Ge3O12
_space_group_name_H-M_alt 'I a -3 d'
_space_group_IT_number 230
_space_group_name_Hall '-I 4bd 2c 3'
_cell_length_a 12.504
_cell_length_b 12.504
_cell_length_c 12.504
_cell_angle_alpha 90.00
_cell_angle_beta 90.00
_cell_angle_gamma 90.00
loop_
_atom_site_label
_atom_site_type_symbol
_atom_site_fract_x
_atom_site_fract_y
_atom_site_fract_z
Mn1 Mn 0.000 0.000 0.000
Cd1 Cd 0.000 0.250 0.125
Ge1 Ge 0.000 0.250 0.375
O1 O 0.032 0.050 0.653
# crystal system	cubic
# energy	-6.02	eV per atom
# calculated density	5824	kg/m³